Record 1
# PrCu8Pd2

A relaxed structure of PrCu8Pd2 (PBE, the Alexandria database).

Cell lengths 6.2589, 6.2589, 4.8408 Å; angles 90.00, 90.00, 90.00 degrees
Space group P4/mmm (No. 123)
Asymmetric unit:
Pr (0.0000, 0.0000, 0.0000) [1 per cell]
Cu (0.3057, 0.3057, 0.2468) [8 per cell]
Pd (0.0000, 0.5000, 0.5000) [2 per cell]

The total magnetic moment is 0.000 μB/cell. The formation energy is 0.2254 eV per atom. As for the final energy: -4.13 eV/atom.


Record 2
# PrCuPd3Pt

A relaxed structure of PrCuPd3Pt (PBE, the Alexandria database).

Cell lengths 5.5694, 13.8662, 5.6449 Å; angles 90.00, 90.00, 90.00 degrees
Space group Cmcm (No. 63)
Asymmetric unit:
Pr (0.0000, 0.1880, 0.2500) [4 per cell]
Cu (0.0000, 0.3867, 0.2500) [4 per cell]
Pd (0.0000, 0.3519, 0.7500) [4 per cell]
Pd (0.2402, 0.0000, 0.0000) [8 per cell]
Pt (0.0000, 0.1506, 0.7500) [4 per cell]

The total magnetic moment is 0.001 μB/cell. The formation energy is -0.3901 eV per atom. As for the final energy: -5.47 eV/atom.


Record 3
# Pr2Cu2PdPt5

A relaxed structure of Pr2Cu2PdPt5 (PBE, the Alexandria database).

Cell lengths 9.4081, 9.4081, 4.0407 Å; angles 90.00, 90.00, 90.00 degrees
Space group P4/mbm (No. 127)
Asymmetric unit:
Pr (0.1830, 0.3170, 0.0000) [4 per cell]
Cu (0.1153, 0.6153, 0.0000) [4 per cell]
Pd (0.0000, 0.0000, 0.0000) [2 per cell]
Pt (0.0000, 0.5000, 0.5000) [2 per cell]
Pt (0.0612, 0.7920, 0.5000) [8 per cell]

The total magnetic moment is 0.000 μB/cell. The formation energy is -0.6723 eV per atom. As for the final energy: -5.99 eV/atom.


Record 4
# Pr2CuPd2Pt5

A relaxed structure of Pr2CuPd2Pt5 (PBE, the Alexandria database).

Cell lengths 9.5192, 9.5192, 4.1422 Å; angles 90.00, 90.00, 90.00 degrees
Space group P4/mbm (No. 127)
Asymmetric unit:
Pr (0.1754, 0.3246, 0.0000) [4 per cell]
Cu (0.0000, 0.0000, 0.0000) [2 per cell]
Pd (0.1244, 0.6244, 0.0000) [4 per cell]
Pt (0.0000, 0.5000, 0.5000) [2 per cell]
Pt (0.0564, 0.8019, 0.5000) [8 per cell]

The total magnetic moment is 0.000 μB/cell. The formation energy is -0.6069 eV per atom. As for the final energy: -6.03 eV/atom.


Record 5
# Pr3Cu2Pd9Pt

A relaxed structure of Pr3Cu2Pd9Pt (PBE, the Alexandria database).

Cell lengths 5.6436, 5.6436, 11.8350 Å; angles 90.00, 90.00, 120.00 degrees
Space group P-3m1 (No. 164)
Asymmetric unit:
Pr (0.0000, 0.0000, 0.0000) [1 per cell]
Pr (0.3333, 0.6667, 0.5765) [2 per cell]
Cu (0.3333, 0.6667, 0.1611) [2 per cell]
Pd (0.0000, 0.5000, 0.0000) [3 per cell]
Pd (0.1678, 0.3356, 0.3230) [6 per cell]
Pt (0.0000, 0.0000, 0.5000) [1 per cell]

The total magnetic moment is 0.000 μB/cell. The formation energy is -0.3297 eV per atom. As for the final energy: -5.35 eV/atom.


Record 6
# PrPuCuPd

A relaxed structure of PrPuCuPd (PBE, the Alexandria database).

Cell lengths 7.1566, 7.1566, 7.1566 Å; angles 90.00, 90.00, 90.00 degrees
Space group F-43m (No. 216)
Asymmetric unit:
Pr (0.0000, 0.0000, 0.0000) [4 per cell]
Pu (0.0000, 0.0000, 0.5000) [4 per cell]
Cu (0.2500, 0.2500, 0.7500) [4 per cell]
Pd (0.2500, 0.2500, 0.2500) [4 per cell]

The total magnetic moment is 23.356 μB/cell. The formation energy is -0.2457 eV per atom. As for the final energy: -7.35 eV/atom.